A relaxed CdNiRu2 crystal, computed with GGA-PBE.

Lattice parameters (Å, degrees): 4.7053 4.7053 4.7053 130.88 130.88 72.00
Fractional coordinates of all 4 atoms:
1 Cd 0.0000 0.0000 0.0000
2 Ni 0.2500 0.7500 0.5000
3 Ru 0.5000 0.5000 0.0000
4 Ru 0.7500 0.2500 0.5000

Summary:
E_tot = -5.961 eV per atom